## TaTiTe3 (GGA-PBE)

Data for a relaxed structure of TaTiTe3. Values from VASP.

Cell and atoms, written as Quantum ESPRESSO input:
```
&SYSTEM
  ibrav = 0, nat = 5, ntyp = 3
/
ATOMIC_SPECIES
Te 127.60 Te.upf
Ti 47.87 Ti.upf
Ta 180.95 Ta.upf
ATOMIC_POSITIONS angstrom
Te 0.000 2.693 0.000
Te 0.000 0.000 2.693
Te 2.693 0.000 0.000
Ti 2.693 2.693 2.693
Ta 0.000 0.000 0.000
CELL_PARAMETERS angstrom
5.385 0.000 0.000
0.000 5.385 0.000
0.000 0.000 5.385
```

Calculated values
E above lowest polymorph, meV/atom: 839
N(E_F), states/eV/cell: 13.70
E_form (uncorrected), kJ/mol of formula units: 327

## TaTi3Te (GGA-PBE)

Data for a relaxed structure of TaTi3Te. Values from VASP.

Cell and atoms, written as Quantum ESPRESSO input:
```
&SYSTEM
  ibrav = 0, nat = 5, ntyp = 3
/
ATOMIC_SPECIES
Te 127.60 Te.upf
Ti 47.87 Ti.upf
Ta 180.95 Ta.upf
ATOMIC_POSITIONS angstrom
Te 0.000 0.000 0.000
Ti -1.414 -0.645 -1.871
Ti -0.063 -2.284 0.834
Ti -1.978 0.533 1.311
Ta -3.454 -2.396 0.274
CELL_PARAMETERS angstrom
-3.956 1.066 2.622
-2.827 -1.290 -3.742
-0.125 -4.568 1.668
```

Calculated values
E above lowest polymorph, meV/atom: 141
N(E_F), states/eV/cell: 4.70
E_form (uncorrected), kJ/mol of formula units: 483

## TaTi3Te8 (GGA-PBE)

Data for a relaxed structure of TaTi3Te8. Values from VASP.

Cell and atoms, written as Quantum ESPRESSO input:
```
&SYSTEM
  ibrav = 0, nat = 12, ntyp = 3
/
ATOMIC_SPECIES
Ta 180.95 Ta.upf
Ti 47.87 Ti.upf
Te 127.60 Te.upf
ATOMIC_POSITIONS angstrom
Ta 0.000 0.000 0.000
Ti -2.802 -1.672 -1.833
Ti 0.186 -3.659 -0.767
Ti 2.988 -1.988 1.066
Te -2.514 -1.089 4.836
Te -2.525 -3.912 -0.211
Te -5.501 0.886 3.748
Te -8.278 -0.771 1.931
Te -5.316 -2.742 2.988
Te 0.277 -2.259 1.638
Te 3.239 -4.231 2.694
Te 0.462 -5.888 0.877
CELL_PARAMETERS angstrom
-5.603 -3.343 -3.665
5.975 -3.975 2.131
-5.411 2.317 6.159
```

Calculated values
N(E_F), states/eV/cell: 4.36
E_form (uncorrected), kJ/mol of formula units: -702

## Ta2TiTe5 (GGA-PBE)

Data for a relaxed structure of Ta2TiTe5. Values from VASP.

Cell and atoms, written as Quantum ESPRESSO input:
```
&SYSTEM
  ibrav = 0, nat = 8, ntyp = 3
/
ATOMIC_SPECIES
Ta 180.95 Ta.upf
Ti 47.87 Ti.upf
Te 127.60 Te.upf
ATOMIC_POSITIONS angstrom
Ta 4.963 3.512 8.472
Ta 2.072 3.512 1.581
Ti 3.517 3.512 5.027
Te 2.780 5.299 7.221
Te 4.254 5.299 2.832
Te 1.178 3.512 4.241
Te 4.254 1.725 2.832
Te 2.780 1.725 7.221
CELL_PARAMETERS angstrom
4.678 0.000 1.571
2.339 7.024 0.785
0.018 0.000 7.697
```

Calculated values
N(E_F), states/eV/cell: 5.44
E_form (uncorrected), kJ/mol of formula units: -145